P | First-principles (PBE) data for a relaxed SmHfMg2 crystal, as listed in Alexandria.

abc: 7.320 7.320 7.320
angles: 90.00 90.00 90.00
Space group Fm-3m (No. 225)
Unique sites:
1 Sm 0.000 0.000 0.000 [4 per cell]
2 Hf 0.000 0.000 0.500 [4 per cell]
3 Mg 0.250 0.250 0.250 [8 per cell]

- Fermi-level density of states (states/eV per atom) = 1.062
- M_tot (μB/cell) = 0.001

=====

Q | First-principles (PBE) data for a relaxed SmHfMg2 crystal, as listed in Alexandria.

abc: 3.2206 3.2206 33.5050
angles: 90.00 90.00 120.00
Space group R-3m (No. 166, hexagonal axes)
Unique sites:
1 Sm 0.0000 0.0000 0.0000 [3 per cell]
2 Hf 0.0000 0.0000 0.5000 [3 per cell]
3 Mg 0.0000 0.0000 0.2450 [6 per cell]

- Fermi-level density of states (states/eV per atom) = 1.093
- M_tot (μB/cell) = 0.000

=====

Going by the computed energies, the most stable comes first: P, Q.

=====

P | First-principles (PBE) data for a relaxed HfMgSn3 crystal, as listed in Alexandria.

abc: 5.539 5.539 5.539
angles: 90.00 90.00 90.00
Space group Pm-3m (No. 221)
Unique sites:
1 Hf 0.000 0.000 0.000 [1 per cell]
2 Mg 0.500 0.500 0.500 [1 per cell]
3 Sn 0.000 0.000 0.500 [3 per cell]

- Fermi-level density of states (states/eV per atom) = 0.359
- M_tot (μB/cell) = 0.000

=====

Q | First-principles (PBE) data for a relaxed HfMgSn3 crystal, as listed in Alexandria.

abc: 5.238 5.238 5.238
angles: 90.00 90.00 90.00
Space group Pm-3m (No. 221)
Unique sites:
1 Hf 0.000 0.000 0.000 [1 per cell]
2 Mg 0.500 0.500 0.500 [1 per cell]
3 Sn 0.000 0.500 0.500 [3 per cell]

- Fermi-level density of states (states/eV per atom) = 0.718
- M_tot (μB/cell) = 0.000

=====

Going by the computed energies, the most stable comes first: P, Q.

=====

P | First-principles (PBE) data for a relaxed Hf2MgSn crystal, as listed in Alexandria.

abc: 3.1221 3.1221 33.3864
angles: 90.00 90.00 120.00
Space group R-3m (No. 166, hexagonal axes)
Unique sites:
1 Hf 0.0000 0.0000 0.0902 [6 per cell]
2 Mg 0.0000 0.0000 0.0000 [3 per cell]
3 Sn 0.0000 0.0000 0.5000 [3 per cell]

- Fermi-level density of states (states/eV per atom) = 0.674
- M_tot (μB/cell) = 0.000

=====

Q | First-principles (PBE) data for a relaxed Hf2MgSn crystal, as listed in Alexandria.

abc: 4.341 4.341 4.529
angles: 90.00 90.00 90.00
Space group P4/mmm (No. 123)
Unique sites:
1 Hf 0.000 0.500 0.000 [2 per cell]
2 Mg 0.000 0.000 0.500 [1 per cell]
3 Sn 0.500 0.500 0.500 [1 per cell]

- Fermi-level density of states (states/eV per atom) = 0.837
- M_tot (μB/cell) = 0.000

=====

R | First-principles (PBE) data for a relaxed Hf2MgSn crystal, as listed in Alexandria.

abc: 7.959 7.959 5.916
angles: 90.00 90.00 90.00
Space group I-42d (No. 122)
Unique sites:
1 Hf 0.243 0.250 0.125 [8 per cell]
2 Mg 0.000 0.000 0.500 [4 per cell]
3 Sn 0.000 0.000 0.000 [4 per cell]

- Fermi-level density of states (states/eV per atom) = 1.007
- M_tot (μB/cell) = 0.000

=====

Going by the computed energies, the most stable comes first: Q, P, R.

=====

P | First-principles (PBE) data for a relaxed Hf2MgSn crystal, as listed in Alexandria.

abc: 4.8127 4.8127 15.2204
angles: 90.00 90.00 120.00
Space group R3m (No. 160, hexagonal axes)
Unique sites:
1 Hf 0.0000 0.0000 0.0000 [3 per cell]
2 Hf 0.0000 0.0000 0.2160 [3 per cell]
3 Mg 0.0000 0.0000 0.4269 [3 per cell]
4 Sn 0.0000 0.0000 0.6167 [3 per cell]

- Fermi-level density of states (states/eV per atom) = 1.319
- M_tot (μB/cell) = 0.000

=====

Q | First-principles (PBE) data for a relaxed Hf2MgSn crystal, as listed in Alexandria.

abc: 7.006 7.006 7.006
angles: 90.00 90.00 90.00
Space group Fm-3m (No. 225)
Unique sites:
1 Hf 0.250 0.250 0.250 [8 per cell]
2 Mg 0.000 0.000 0.000 [4 per cell]
3 Sn 0.000 0.000 0.500 [4 per cell]

- Fermi-level density of states (states/eV per atom) = 1.161
- M_tot (μB/cell) = 0.000

=====

Going by the computed energies, the most stable comes first: Q, P.

=====

P | First-principles (PBE) data for a relaxed SrHfMg14 crystal, as listed in Alexandria.

abc: 6.5962 6.5962 10.3772
angles: 90.00 90.00 120.00
Space group P-6m2 (No. 187)
Unique sites:
1 Sr 0.0000 0.0000 0.0000 [1 per cell]
2 Hf 0.0000 0.0000 0.5000 [1 per cell]
3 Mg 0.0132 0.5066 0.0000 [3 per cell]
4 Mg 0.1685 0.3369 0.2645 [6 per cell]
5 Mg 0.5012 0.0023 0.5000 [3 per cell]
6 Mg 0.6667 0.3333 0.2445 [2 per cell]

- Fermi-level density of states (states/eV per atom) = 0.541
- M_tot (μB/cell) = 0.000

=====

Q | First-principles (PBE) data for a relaxed SrHfMg14 crystal, as listed in Alexandria.

abc: 9.594 9.613 8.322
angles: 90.00 90.00 90.00
Space group Cmmm (No. 65)
Unique sites:
1 Sr 0.000 0.000 0.000 [2 per cell]
2 Hf 0.000 0.500 0.000 [2 per cell]
3 Mg 0.000 0.000 0.500 [2 per cell]
4 Mg 0.000 0.264 0.259 [8 per cell]
5 Mg 0.000 0.500 0.500 [2 per cell]
6 Mg 0.236 0.500 0.260 [8 per cell]
7 Mg 0.250 0.250 0.000 [4 per cell]
8 Mg 0.250 0.250 0.500 [4 per cell]

- Fermi-level density of states (states/eV per atom) = 0.510
- M_tot (μB/cell) = 0.000

=====

Going by the computed energies, the most stable comes first: Q, P.

=====

P | First-principles (PBE) data for a relaxed SrHfMg3 crystal, as listed in Alexandria.

abc: 5.422 5.422 5.422
angles: 90.00 90.00 90.00
Space group Pm-3m (No. 221)
Unique sites:
1 Sr 0.000 0.000 0.000 [1 per cell]
2 Hf 0.500 0.500 0.500 [1 per cell]
3 Mg 0.000 0.000 0.500 [3 per cell]

- Fermi-level density of states (states/eV per atom) = 0.688
- M_tot (μB/cell) = 0.000

=====

Q | First-principles (PBE) data for a relaxed SrHfMg3 crystal, as listed in Alexandria.

abc: 5.602 5.602 5.602
angles: 90.00 90.00 90.00
Space group Pm-3m (No. 221)
Unique sites:
1 Sr 0.000 0.000 0.000 [1 per cell]
2 Hf 0.500 0.500 0.500 [1 per cell]
3 Mg 0.000 0.500 0.500 [3 per cell]

- Fermi-level density of states (states/eV per atom) = 1.178
- M_tot (μB/cell) = 1.181

=====

Going by the computed energies, the most stable comes first: Q, P.

=====

P | First-principles (PBE) data for a relaxed Sr3HfMg crystal, as listed in Alexandria.

abc: 6.181 6.181 6.181
angles: 90.00 90.00 90.00
Space group Pm-3m (No. 221)
Unique sites:
1 Sr 0.000 0.000 0.500 [3 per cell]
2 Hf 0.500 0.500 0.500 [1 per cell]
3 Mg 0.000 0.000 0.000 [1 per cell]

- Fermi-level density of states (states/eV per atom) = 1.095
- M_tot (μB/cell) = 3.044

=====

Q | First-principles (PBE) data for a relaxed Sr3HfMg crystal, as listed in Alexandria.

abc: 6.193 6.193 6.193
angles: 90.00 90.00 90.00
Space group Pm-3m (No. 221)
Unique sites:
1 Sr 0.000 0.000 0.500 [3 per cell]
2 Hf 0.000 0.000 0.000 [1 per cell]
3 Mg 0.500 0.500 0.500 [1 per cell]

- Fermi-level density of states (states/eV per atom) = 1.892
- M_tot (μB/cell) = 1.560

=====

Going by the computed energies, the most stable comes first: Q, P.

=====

P | First-principles (PBE) data for a relaxed Hf2Mg2Ta crystal, as listed in Alexandria.

abc: 7.912 7.912 3.287
angles: 90.00 90.00 90.00
Space group P4/mbm (No. 127)
Unique sites:
1 Hf 0.180 0.320 0.000 [4 per cell]
2 Mg 0.121 0.621 0.500 [4 per cell]
3 Ta 0.000 0.000 0.500 [2 per cell]

- Fermi-level density of states (states/eV per atom) = 1.422
- M_tot (μB/cell) = 0.000

=====

Q | First-principles (PBE) data for a relaxed Hf2Mg2Ta crystal, as listed in Alexandria.

abc: 3.930 3.930 13.955
angles: 90.00 90.00 90.00
Space group I4/mmm (No. 139)
Unique sites:
1 Hf 0.000 0.500 0.250 [4 per cell]
2 Mg 0.000 0.000 0.091 [4 per cell]
3 Ta 0.000 0.000 0.500 [2 per cell]

- Fermi-level density of states (states/eV per atom) = 0.900
- M_tot (μB/cell) = 0.295

=====

Going by the computed energies, the most stable comes first: P, Q.

=====

P | First-principles (PBE) data for a relaxed HfMgTa crystal, as listed in Alexandria.

abc: 4.851 3.507 14.658
angles: 90.00 90.07 90.00
Space group Cm (No. 8)
Unique sites:
1 Hf 0.000 0.000 0.000 [2 per cell]
2 Hf 0.000 0.500 0.465 [2 per cell]
3 Mg 0.001 0.000 0.645 [2 per cell]
4 Mg 0.498 0.000 0.820 [2 per cell]
5 Ta 0.497 0.000 0.158 [2 per cell]
6 Ta 0.499 0.500 0.307 [2 per cell]

- Fermi-level density of states (states/eV per atom) = 0.929
- M_tot (μB/cell) = 0.000

=====

Q | First-principles (PBE) data for a relaxed HfMgTa crystal, as listed in Alexandria.

abc: 3.1088 3.1088 7.5226
angles: 90.00 90.00 120.00
Space group P3m1 (No. 156)
Unique sites:
1 Hf 0.0000 0.0000 0.0000 [1 per cell]
2 Mg 0.3333 0.6667 0.6436 [1 per cell]
3 Ta 0.6667 0.3333 0.3107 [1 per cell]

- Fermi-level density of states (states/eV per atom) = 0.966
- M_tot (μB/cell) = 0.000

=====

Going by the computed energies, the most stable comes first: P, Q.

=====

P | First-principles (PBE) data for a relaxed HfMg2Ta crystal, as listed in Alexandria.

abc: 7.901 7.901 5.480
angles: 90.00 90.00 90.00
Space group I-42d (No. 122)
Unique sites:
1 Hf 0.000 0.000 0.000 [4 per cell]
2 Mg 0.240 0.750 0.625 [8 per cell]
3 Ta 0.000 0.000 0.500 [4 per cell]

- Fermi-level density of states (states/eV per atom) = 0.792
- M_tot (μB/cell) = 0.000

=====

Q | First-principles (PBE) data for a relaxed HfMg2Ta crystal, as listed in Alexandria.

abc: 6.823 6.823 6.823
angles: 90.00 90.00 90.00
Space group Fm-3m (No. 225)
Unique sites:
1 Hf 0.000 0.000 0.000 [4 per cell]
2 Mg 0.250 0.250 0.250 [8 per cell]
3 Ta 0.000 0.000 0.500 [4 per cell]

- Fermi-level density of states (states/eV per atom) = 1.112
- M_tot (μB/cell) = 0.001

=====

Going by the computed energies, the most stable comes first: Q, P.

=====

P | First-principles (PBE) data for a relaxed TbHfMg2 crystal, as listed in Alexandria.

abc: 3.2174 3.2174 33.1026
angles: 90.00 90.00 120.00
Space group R-3m (No. 166, hexagonal axes)
Unique sites:
1 Tb 0.0000 0.0000 0.0000 [3 per cell]
2 Hf 0.0000 0.0000 0.5000 [3 per cell]
3 Mg 0.0000 0.0000 0.2458 [6 per cell]

- Fermi-level density of states (states/eV per atom) = 1.099
- M_tot (μB/cell) = 0.000

=====

Q | First-principles (PBE) data for a relaxed TbHfMg2 crystal, as listed in Alexandria.

abc: 3.606 3.606 7.419
angles: 90.00 90.00 90.00
Space group P4/mmm (No. 123)
Unique sites:
1 Tb 0.000 0.000 0.000 [1 per cell]
2 Hf 0.000 0.000 0.500 [1 per cell]
3 Mg 0.500 0.500 0.273 [2 per cell]

- Fermi-level density of states (states/eV per atom) = 1.014
- M_tot (μB/cell) = 0.000

=====

Going by the computed energies, the most stable comes first: Q, P.

=====

P | First-principles (PBE) data for a relaxed Hf2MgTc2 crystal, as listed in Alexandria.

abc: 3.715 3.715 14.905
angles: 90.00 90.00 90.00
Space group I4/mmm (No. 139)
Unique sites:
1 Hf 0.000 0.000 0.111 [4 per cell]
2 Mg 0.000 0.000 0.500 [2 per cell]
3 Tc 0.000 0.500 0.250 [4 per cell]

- Fermi-level density of states (states/eV per atom) = 1.771
- M_tot (μB/cell) = 0.000

=====

Q | First-principles (PBE) data for a relaxed Hf2MgTc2 crystal, as listed in Alexandria.

abc: 7.716 7.716 3.182
angles: 90.00 90.00 90.00
Space group P4/mbm (No. 127)
Unique sites:
1 Hf 0.141 0.359 0.000 [4 per cell]
2 Mg 0.000 0.000 0.000 [2 per cell]
3 Tc 0.156 0.656 0.500 [4 per cell]

- Fermi-level density of states (states/eV per atom) = 0.735
- M_tot (μB/cell) = 0.000

=====

R | First-principles (PBE) data for a relaxed Hf2MgTc2 crystal, as listed in Alexandria.

abc: 7.417 7.417 3.403
angles: 90.00 90.00 90.00
Space group P4/mbm (No. 127)
Unique sites:
1 Hf 0.153 0.347 0.000 [4 per cell]
2 Mg 0.000 0.000 0.500 [2 per cell]
3 Tc 0.144 0.644 0.500 [4 per cell]

- Fermi-level density of states (states/eV per atom) = 0.401
- M_tot (μB/cell) = 0.000

=====

Going by the computed energies, the most stable comes first: R, Q, P.